1.
Computed, not measured: a relaxed TaTlO2F crystal at the PBE-GGA level of DFT.

```
TaTlO2F
1.0
-2.742 -2.836 0.926
-0.790 -0.522 -3.940
3.130 -3.096 -0.217
O Tl F Ta
2 1 1 1
direct
0.000 0.500 0.000
0.500 0.000 0.000
0.500 0.500 0.500
0.000 0.000 0.500
0.000 0.000 0.000
```

## Properties
uncorrected energy = -0.5329 Ry per atom
space group = No. 123
crystal system = tetragonal
raw formation energy = -2.05 eV per atom
Fermi-level density of states = 0.2758 states/eV per atom

2.
Computed, not measured: a relaxed BeTlNi2Cl crystal at the PBE-GGA level of DFT.

```
BeTlNi2Cl
1.0
4.960 0.000 0.000
0.000 4.590 0.000
0.000 0.000 4.960
Ni Cl Tl Be
2 1 1 1
direct
0.500 0.000 0.000
0.000 0.000 0.500
0.500 0.500 0.500
0.000 0.000 0.000
0.000 0.500 0.000
```

## Properties
uncorrected energy = -0.1964 Ry per atom
space group = No. 123
crystal system = tetragonal
raw formation energy = 1.23 eV per atom
Fermi-level density of states = 2.1213 states/eV per atom

3.
Computed, not measured: a relaxed Pu2MnSb crystal at the PBE-GGA level of DFT.

```
Pu2MnSb
1.0
4.486 0.000 0.000
0.000 4.472 0.000
0.000 0.000 4.472
Sb Pu Mn
1 2 1
direct
0.500 0.000 0.000
0.000 0.000 0.500
0.000 0.500 0.000
0.500 0.500 0.500
```

## Properties
uncorrected energy = -0.7917 Ry per atom
space group = No. 123
crystal system = tetragonal
distance to the lowest polymorph of the same formula = 0 kJ/mol of formula units
raw formation energy = -0.28 eV per atom
Fermi-level density of states = 1.8411 states/eV per atom

4.
Computed, not measured: a relaxed Be4NbW crystal at the PBE-GGA level of DFT.

```
Be4NbW
1.0
4.552 0.000 0.000
2.276 3.942 0.000
2.276 1.314 3.716
Be Nb W
4 1 1
direct
0.626 0.122 0.626
0.122 0.626 0.626
0.626 0.626 0.626
0.626 0.626 0.122
0.250 0.250 0.250
0.000 0.000 0.000
```

## Properties
uncorrected energy = -0.4831 Ry per atom
space group = No. 216
crystal system = cubic
E_form = -0.25 eV/atom
Fermi-level density of states = 0.5793 states/eV per atom

5.
Computed, not measured: a relaxed TePH crystal at the PBE-GGA level of DFT.

```
TePH
1.0
5.103 0.000 -0.001
0.000 3.655 0.000
-1.620 0.000 7.947
H P Te
2 2 2
direct
0.349 0.000 0.591
0.349 0.500 0.091
0.218 0.500 0.233
0.218 0.000 0.733
0.894 0.000 0.112
0.894 0.500 0.612
```

## Properties
uncorrected energy = -0.2817 Ry per atom
space group = No. 8
crystal system = monoclinic
distance to the lowest polymorph of the same formula = 23 kJ/mol of formula units

6.
Computed, not measured: a relaxed KCa2Sc2 crystal at the PBE-GGA level of DFT.

```
KCa2Sc2
1.0
-3.942 7.567 -5.662
-5.778 2.925 7.932
2.666 2.227 1.121
K Sc Ca
2 4 4
direct
0.000 0.000 0.000
0.500 0.500 0.000
0.104 0.396 0.000
0.604 0.104 0.000
0.896 0.604 0.000
0.396 0.896 0.000
0.679 0.821 0.500
0.821 0.321 0.500
0.321 0.179 0.500
0.179 0.679 0.500
```

## Properties
uncorrected energy = -0.2326 Ry per atom
space group = No. 127
crystal system = tetragonal
distance to the lowest polymorph of the same formula = 0 kJ/mol of formula units
E_form = 0.39 eV/atom
Fermi-level density of states = 1.6494 states/eV per atom

7.
Computed, not measured: a relaxed Hf3AlIn crystal at the PBE-GGA level of DFT.

```
Hf3AlIn
1.0
5.350 0.000 0.000
0.000 6.951 -0.001
0.000 -3.475 6.020
Al Hf In
2 6 2
direct
0.500 0.000 0.000
0.000 0.000 0.000
0.750 0.190 0.381
0.250 0.381 0.190
0.250 0.810 0.190
0.750 0.619 0.810
0.250 0.810 0.619
0.750 0.190 0.810
0.750 0.667 0.333
0.250 0.333 0.667
```

## Properties
uncorrected energy = -0.5232 Ry per atom
space group = No. 194
crystal system = hexagonal
distance to the lowest polymorph of the same formula = 0 kJ/mol of formula units
E_form = 0.15 eV/atom
Fermi-level density of states = 0.6722 states/eV per atom

8.
Computed, not measured: a relaxed Tl2ZnAs2 crystal at the PBE-GGA level of DFT.

```
Tl2ZnAs2
1.0
5.738 0.000 0.000
0.000 5.738 0.000
2.869 2.869 4.280
Zn Tl As
1 2 2
direct
0.000 0.000 0.000
0.250 0.750 0.500
0.750 0.250 0.500
0.360 0.360 0.280
0.640 0.640 0.720
```

## Properties
uncorrected energy = -0.2096 Ry per atom
space group = No. 139
crystal system = tetragonal
distance to the lowest polymorph of the same formula = 94 kJ/mol of formula units
E_form = 0.21 eV/atom
Fermi-level density of states = 0.2852 states/eV per atom

9.
Computed, not measured: a relaxed CaTbSc2 crystal at the PBE-GGA level of DFT.

```
CaTbSc2
1.0
3.487 0.000 0.000
0.000 3.487 0.000
0.000 0.000 9.871
Ca Sc Tb
1 2 1
direct
0.500 0.500 0.500
0.000 0.000 0.771
0.000 0.000 0.229
0.500 0.500 0.000
```

## Properties
uncorrected energy = -0.3442 Ry per atom
space group = No. 123
crystal system = tetragonal
distance to the lowest polymorph of the same formula = 0 kJ/mol of formula units
E_form = 0.14 eV/atom
Fermi-level density of states = 1.7268 states/eV per atom

10.
Computed, not measured: a relaxed Sm3Ho8Tm3 crystal at the PBE-GGA level of DFT.

```
Sm3Ho8Tm3
1.0
5.472 0.054 1.180
2.595 9.192 0.812
0.944 -3.087 9.026
Sm Ho Tm
3 8 3
direct
0.500 0.000 0.000
0.000 0.818 0.182
0.000 0.182 0.818
0.659 0.119 0.561
0.341 0.439 0.881
0.158 0.445 0.239
0.659 0.561 0.119
0.158 0.239 0.445
0.842 0.761 0.555
0.842 0.555 0.761
0.341 0.881 0.439
0.500 0.500 0.500
0.796 0.204 0.204
0.204 0.796 0.796
```

## Properties
uncorrected energy = -0.3288 Ry per atom
space group = No. 71
crystal system = orthorhombic
E_form = 0.11 eV/atom
Fermi-level density of states = 1.6012 states/eV per atom

11.
Computed, not measured: a relaxed Tb3Pm4Y2 crystal at the PBE-GGA level of DFT.

```
Tb3Pm4Y2
1.0
6.544 2.208 1.581
3.280 11.473 2.149
3.280 5.731 10.169
Pm Tb Y
8 6 4
direct
0.655 0.519 0.826
0.027 0.821 0.151
0.473 0.849 0.179
0.973 0.179 0.849
0.345 0.481 0.174
0.845 0.174 0.481
0.155 0.826 0.519
0.527 0.151 0.821
0.750 0.500 0.500
0.591 0.830 0.830
0.091 0.830 0.830
0.909 0.170 0.170
0.250 0.500 0.500
0.409 0.170 0.170
0.679 0.842 0.479
0.179 0.479 0.842
0.321 0.158 0.521
0.821 0.521 0.158
```

## Properties
uncorrected energy = -0.3703 Ry per atom
space group = No. 66
crystal system = orthorhombic
distance to the lowest polymorph of the same formula = 33 kJ/mol of formula units
E_form = 0.05 eV/atom
Fermi-level density of states = 1.4874 states/eV per atom

12.
Computed, not measured: a relaxed CaNdGdY crystal at the PBE-GGA level of DFT.

```
CaNdGdY
1.0
5.813 0.000 0.000
2.907 5.034 0.000
2.907 1.678 4.746
Y Gd Ca Nd
1 1 1 1
direct
0.000 0.000 0.000
0.250 0.250 0.250
0.750 0.750 0.750
0.500 0.500 0.500
```

## Properties
uncorrected energy = -0.4923 Ry per atom
space group = No. 216
crystal system = cubic
E_form = 0.13 eV/atom
Fermi-level density of states = 1.8141 states/eV per atom